# 1
Compound: Ce2PmIr
Source: Alexandria via LeMat-Bulk
Functional: PBE-GGA
Structure: relaxed

Summary:
Calculated total energy = -25.9 eV for the cell shown
D(E_F) = 11.3 states/eV per cell
SG = R-3m
Energy of formation from the pure elements = -0.104 eV/atom

Cell and atoms, written as extended XYZ:
```
4
Lattice="1.904 1.099 10.012 -1.904 1.099 10.012 0.000 -2.199 10.012" Properties=species:S:1:pos:R:3 pbc="T T T"
Ce 0.000 0.000 3.297
Ce 0.000 0.000 26.738
Pm 0.000 0.000 0.000
Ir 0.000 0.000 15.017
```

---

# 2
Compound: Ce6PmIr4
Source: Alexandria via LeMat-Bulk
Functional: PBE-GGA
Structure: relaxed

Summary:
Calculated total energy = -81.1 eV for the cell shown
D(E_F) = 26.9 states/eV per cell
SG = I-42m
Energy of formation from the pure elements = -0.479 eV/atom

Cell and atoms, written as extended XYZ:
```
11
Lattice="-3.750 3.750 5.207 3.750 -3.750 5.207 3.750 3.750 -5.207" Properties=species:S:1:pos:R:3 pbc="T T T"
Ce 3.750 0.000 0.000
Ce 2.584 2.584 -2.102
Ce 1.166 1.166 3.105
Ce 0.000 3.750 0.000
Ce 1.166 -1.166 7.309
Ce -1.166 1.166 7.309
Pm 0.000 0.000 0.000
Ir 1.587 -1.587 4.476
Ir 2.163 2.163 0.731
Ir -1.587 1.587 4.476
Ir 1.587 1.587 5.938
```

---

# 3
Compound: Ce3PmIr
Source: Alexandria via LeMat-Bulk
Functional: PBE-GGA
Structure: relaxed

Summary:
Calculated total energy = -65.4 eV for the cell shown
D(E_F) = 20.2 states/eV per cell
SG = P2_1/m
Energy of formation from the pure elements = -0.258 eV/atom

Cell and atoms, written as extended XYZ:
```
10
Lattice="7.117 0.000 0.000 0.000 5.910 0.000 -3.341 0.000 6.323" Properties=species:S:1:pos:R:3 pbc="T T T"
Ce -0.219 1.477 1.784
Ce 1.204 4.432 0.790
Ce -0.398 4.432 3.982
Ce 4.174 1.477 2.342
Ce 2.572 1.477 5.534
Ce 3.995 4.432 4.540
Pm -0.812 1.477 5.412
Pm 4.588 4.432 0.911
Ir 1.888 0.000 3.162
Ir 1.888 2.955 3.162
```

---

# 4
Compound: CePmIr2
Source: Alexandria via LeMat-Bulk
Functional: PBE-GGA
Structure: relaxed

Summary:
Calculated total energy = -31.3 eV for the cell shown
D(E_F) = 3.1 states/eV per cell
SG = Amm2
Energy of formation from the pure elements = -0.730 eV/atom

Cell and atoms, written as extended XYZ:
```
4
Lattice="4.182 0.000 0.000 0.000 1.957 5.497 0.000 -1.957 5.497" Properties=species:S:1:pos:R:3 pbc="T T T"
Ce 0.000 0.000 0.000
Pm 2.091 0.000 3.085
Ir 0.000 0.000 7.984
Ir 2.091 0.000 6.033
```